Entry 1:
The following is a DFT calculation (PBE-GGA) of an optimized crystal structure of TeOs2Au.

space group = Imm2, No. 44
M_tot = 0.000 μB per cell

```
data_TeOs2Au
_chemical_formula_sum 'Te1 Os2 Au1'
_cell_length_a 5.946
_cell_length_b 5.946
_cell_length_c 5.946
_cell_angle_alpha 151.60
_cell_angle_beta 133.03
_cell_angle_gamma 55.80
_space_group_name_H-M_alt 'P 1'
_space_group_IT_number 1
loop_
_space_group_symop_operation_xyz
'x,y,z'
loop_
_atom_site_label
_atom_site_type_symbol
_atom_site_fract_x
_atom_site_fract_y
_atom_site_fract_z
_atom_site_occupancy
Os1 Os 0.966 0.966 0.000 1
Te1 Te 0.533 0.533 0.000 1
Au1 Au 0.236 0.736 0.500 1
Os2 Os 0.765 0.265 0.500 1
```

=====

Entry 2:
The following is a DFT calculation (PBE-GGA) of an optimized crystal structure of TeOs2Au.

space group = Cmmm, No. 65
M_tot = 0.000 μB per cell

```
data_TeOs2Au
_chemical_formula_sum 'Te1 Os2 Au1'
_cell_length_a 4.678
_cell_length_b 4.678
_cell_length_c 3.131
_cell_angle_alpha 90.00
_cell_angle_beta 90.00
_cell_angle_gamma 99.26
_space_group_name_H-M_alt 'P 1'
_space_group_IT_number 1
loop_
_space_group_symop_operation_xyz
'x,y,z'
loop_
_atom_site_label
_atom_site_type_symbol
_atom_site_fract_x
_atom_site_fract_y
_atom_site_fract_z
_atom_site_occupancy
Os1 Os 0.500 0.500 0.000 1
Te1 Te 0.500 0.000 0.500 1
Au1 Au 0.000 0.500 0.500 1
Os2 Os 0.000 0.000 0.000 1
```

=====

Entry 3:
The following is a DFT calculation (PBE-GGA) of an optimized crystal structure of TeOs2Au.

space group = Pmm2, No. 25
M_tot = 0.000 μB per cell

```
data_TeOs2Au
_chemical_formula_sum 'Te1 Os2 Au1'
_cell_length_a 2.850
_cell_length_b 3.517
_cell_length_c 7.477
_cell_angle_alpha 90.00
_cell_angle_beta 90.00
_cell_angle_gamma 90.00
_space_group_name_H-M_alt 'P 1'
_space_group_IT_number 1
loop_
_space_group_symop_operation_xyz
'x,y,z'
loop_
_atom_site_label
_atom_site_type_symbol
_atom_site_fract_x
_atom_site_fract_y
_atom_site_fract_z
_atom_site_occupancy
Au1 Au 0.500 0.500 0.789 1
Os1 Os 0.500 0.500 0.205 1
Os2 Os 0.000 0.000 0.035 1
Te1 Te 0.000 0.000 0.471 1
```

=====

Entry 4:
The following is a DFT calculation (PBE-GGA) of an optimized crystal structure of TeOs2Au.

space group = P4/mmm, No. 123
M_tot = 0.000 μB per cell

```
data_TeOs2Au
_chemical_formula_sum 'Te1 Os2 Au1'
_cell_length_a 3.220
_cell_length_b 3.220
_cell_length_c 6.527
_cell_angle_alpha 90.00
_cell_angle_beta 90.00
_cell_angle_gamma 90.00
_space_group_name_H-M_alt 'P 1'
_space_group_IT_number 1
loop_
_space_group_symop_operation_xyz
'x,y,z'
loop_
_atom_site_label
_atom_site_type_symbol
_atom_site_fract_x
_atom_site_fract_y
_atom_site_fract_z
_atom_site_occupancy
Au1 Au 0.500 0.500 0.750 1
Te1 Te 0.500 0.500 0.250 1
Os1 Os 0.000 0.000 0.491 1
Os2 Os 0.000 0.000 0.009 1
```

=====

no.,uncorrected formation energy (eV/atom)
1,0.814
2,0.964
3,0.637
4,0.918